No. 1
Entry from Alexandria via LeMat-Bulk: a relaxed structure of NbB2PdPb (PBE).

Output
- Total magnetic moment: 0.0 μB/cell
- Total energy: -5.116 eV per atom
- Energy of formation from the pure elements: 1.349 eV/atom

a b c (Å): 4.3092 4.3092 5.4542
angles (deg): 90.00 90.00 90.00
Fractional coordinates of all 5 atoms:
Nb  0.0000  0.0000  0.0000
B  0.0000  0.5000  0.0000
B  0.5000  0.0000  0.0000
Pd  0.5000  0.5000  0.5000
Pb  0.0000  0.0000  0.5000

No. 2
Entry from Alexandria via LeMat-Bulk: a relaxed structure of RbSmSe2O6 (PBE).

Output
- Total magnetic moment: 0.0 μB/cell
- Total energy: -5.961 eV per atom
- Formation energy without anion corrections: -1.721 eV/atom

a b c (Å): 7.2908 7.2908 7.2908
angles (deg): 47.11 47.11 47.11
Fractional coordinates of all 10 atoms:
Rb  0.0000  0.0000  0.0000
Sm  0.5000  0.5000  0.5000
Se  0.2721  0.2721  0.2721
Se  0.7279  0.7279  0.7279
O  0.0630  0.6928  0.5344
O  0.3072  0.4656  0.9370
O  0.4656  0.9370  0.3072
O  0.5344  0.0630  0.6928
O  0.6928  0.5344  0.0630
O  0.9370  0.3072  0.4656

No. 3
Entry from Alexandria via LeMat-Bulk: a relaxed structure of VRuSeN2 (PBE).

Output
- Total magnetic moment: 0.0 μB/cell
- Distance to the lowest polymorph of the same formula: 0.241 eV per atom
- Total energy: -6.724 eV per atom
- Formation energy without anion corrections: 0.982 eV/atom

a b c (Å): 3.7621 3.7621 5.3148
angles (deg): 90.00 90.00 90.00
Fractional coordinates of all 5 atoms:
V  0.0000  0.0000  0.0000
Ru  0.5000  0.5000  0.5000
Se  0.5000  0.5000  0.0000
N  0.0000  0.5000  0.5000
N  0.5000  0.0000  0.5000

No. 4
Entry from Alexandria via LeMat-Bulk: a relaxed structure of Rb2TiAuF6 (PBE).

Output
- Total magnetic moment: 1.0 μB/cell
- Total energy: -5.030 eV per atom
- Formation energy without anion corrections: -2.596 eV/atom

a b c (Å): 6.6639 6.6639 6.6639
angles (deg): 60.00 60.00 60.00
Fractional coordinates of all 10 atoms:
Rb  0.2500  0.2500  0.2500
Rb  0.7500  0.7500  0.7500
Ti  0.0000  0.0000  0.0000
Au  0.5000  0.5000  0.5000
F  0.2010  0.2010  0.7990
F  0.2010  0.7990  0.2010
F  0.2010  0.7990  0.7990
F  0.7990  0.2010  0.2010
F  0.7990  0.2010  0.7990
F  0.7990  0.7990  0.2010

No. 5
Entry from Alexandria via LeMat-Bulk: a relaxed structure of TbHoS (PBE).

Output
- Total magnetic moment: 0.0 μB/cell
- Total energy: -5.723 eV per atom
- Formation energy without anion corrections: -1.278 eV/atom

a b c (Å): 3.7691 3.7691 6.3123
angles (deg): 90.00 90.00 120.00
Fractional coordinates of all 3 atoms:
Tb  0.0000  0.0000  0.0000
Ho  0.6667  0.3333  0.4713
S  0.3333  0.6667  0.7322

No. 6
Entry from Alexandria via LeMat-Bulk: a relaxed structure of NpBiPb (PBE).

Output
- Total magnetic moment: 4.5 μB/cell
- Distance to the lowest polymorph of the same formula: 0.000 eV per atom
- Total energy: -6.646 eV per atom
- Energy of formation from the pure elements: 0.197 eV/atom

a b c (Å): 8.5741 8.5741 8.5741
angles (deg): 157.89 157.89 31.48
Fractional coordinates of all 3 atoms:
Np  0.0000  0.0000  0.0000
Bi  0.6502  0.6502  0.0000
Pb  0.3458  0.3458  0.0000